No. 1
# AcPm2Ag6, optimized geometry, DFT PBE
data_AcPm2Ag6
_cell_length_a 8.3483
_cell_length_b 8.3483
_cell_length_c 3.7163
_cell_angle_alpha 90.00
_cell_angle_beta 90.00
_cell_angle_gamma 120.00
_symmetry_space_group_name_H-M 'P 6/m m m'
_symmetry_Int_Tables_number 191
_symmetry_space_group_name_Hall '-P 6 2'
loop_
_atom_site_label
_atom_site_type_symbol
_atom_site_fract_x
_atom_site_fract_y
_atom_site_fract_z
_atom_site_occupancy
Ac1 Ac 0.0000 0.0000 0.0000 1
Pm1 Pm 0.3333 0.6667 0.0000 1
Ag1 Ag 0.0000 0.3365 0.5000 1
# - Raw total energy: -33.04 eV per cell
# - D(E_F): 0.78 states/eV per atom
# - E above lowest polymorph: 0.000 eV/atom
# - Formation enthalpy at 0 K: -258 meV/atom

No. 2
# Ac3PmAg4, optimized geometry, DFT PBE
data_Ac3PmAg4
_cell_length_a 3.907
_cell_length_b 3.907
_cell_length_c 15.584
_cell_angle_alpha 90.00
_cell_angle_beta 90.00
_cell_angle_gamma 90.00
_symmetry_space_group_name_H-M 'P 4/m m m'
_symmetry_Int_Tables_number 123
_symmetry_space_group_name_Hall '-P 4 2'
loop_
_atom_site_label
_atom_site_type_symbol
_atom_site_fract_x
_atom_site_fract_y
_atom_site_fract_z
_atom_site_occupancy
Ac1 Ac 0.000 0.000 0.000 1
Ac2 Ac 0.000 0.000 0.257 1
Pm1 Pm 0.000 0.000 0.500 1
Ag1 Ag 0.500 0.500 0.129 1
Ag2 Ag 0.500 0.500 0.393 1
# - Raw total energy: -30.55 eV per cell
# - D(E_F): 0.71 states/eV per atom
# - Formation enthalpy at 0 K: -259 meV/atom

Q: Look up the formation enthalpy at 0 K of the second one.
A: -259 meV/atom

Q: What is the raw total energy in the second record?
A: -30.55 eV per cell